# Sb2Au3F18

Sb2Au3F18 at its PBEsol-relaxed geometry (SCAN, the Alexandria database).

Values from the calculation:
ΔE_f (raw) ... -167 kJ per mole of atoms
Raw total energy ... -16.760 eV/atom

```
46
Lattice="-0.226 -8.017 -2.824 8.828 0.884 -3.216 6.557 -2.397 6.278" Properties=species:S:1:pos:R:3 pbc="T T T"
F 8.957 -3.635 4.170
F 10.295 -1.380 2.753
F 2.650 -7.012 -0.707
F 7.670 -5.701 1.290
F 8.466 -1.623 -2.829
F 9.275 -6.174 3.418
F 9.836 -4.203 1.778
F 4.852 -1.342 2.855
F 6.774 -5.140 3.771
F 12.664 -5.110 0.353
F 8.719 -7.143 -4.543
F 12.964 -7.940 -0.663
Sb 9.397 -0.912 -1.350
Au 10.252 -7.552 -0.722
F 10.364 -7.017 1.088
F 6.693 -7.907 3.067
F 5.884 -3.356 -3.180
F 2.659 -6.543 -3.427
F 5.084 -6.928 1.029
Au 12.562 -4.074 2.020
Au 2.598 -5.456 -1.782
F 10.308 -8.188 -2.617
F 4.762 -3.850 1.563
F 2.196 -1.590 0.901
F 4.796 -2.513 -0.850
F 12.509 -2.518 0.945
Au 4.907 -1.978 0.960
F 7.337 -3.040 1.997
F 10.397 -5.680 -1.325
F 6.440 -2.387 4.781
F 8.385 -4.390 -3.533
Sb 6.954 -4.965 -2.451
Sb 8.205 -4.565 2.689
F 4.864 -8.150 -2.515
F 7.489 -3.829 -1.052
F 2.496 -4.420 -0.115
Au 4.414 0.442 -1.608
F 12.500 -2.988 3.665
F 10.075 -2.602 -0.791
F 7.822 -6.490 -1.759
F 7.978 -1.071 -0.121
F 6.202 -5.895 -3.932
F 7.181 -8.459 0.359
Au 3.165 -5.207 1.727
F 5.323 -5.327 -1.540
Sb 5.762 -8.618 1.588
```


# ScAuF2

ScAuF2 at its PBEsol-relaxed geometry (SCAN, the Alexandria database).

Values from the calculation:
ΔE_f (raw) ... -175 kJ per mole of atoms
Raw total energy ... -24.428 eV/atom

```
4
Lattice="4.247 0.000 0.000 2.123 3.678 0.000 2.123 1.226 3.467" Properties=species:S:1:pos:R:3 pbc="T T T"
F 2.123 1.226 0.867
Sc 0.000 0.000 0.000
F 6.370 3.678 2.600
Au 4.247 2.452 1.734
```